VASP calculation (PBE with a Hubbard U) on a relaxed Ba3LaInW2O12 crystal.

Uncorrected energy ... -134.7 eV/f.u.
Calculated volume ... 824.5 Å³ per cell
DOS at the Fermi energy ... 0.000 states/eV/atom

a b c (Å): 5.8222 5.8222 28.0848
angles (deg): 90.00 90.00 120.00
With the nearest neighbours (Å) after each atom.
Space group R3m (No. 160, hexagonal axes)
Inequivalent atoms, fractional coordinates:
Ba  0.0000  0.0000  0.0000 (multiplicity 3)  12 O 2.77-3.06
Ba  0.0000  0.0000  0.1550 (multiplicity 3)  12 O 2.80-2.98
Ba  0.0000  0.0000  0.5780 (multiplicity 3)  12 O 2.89-2.91
La  0.0000  0.0000  0.4326 (multiplicity 3)  3 O 2.45
In  0.0000  0.0000  0.2879 (multiplicity 3)  6 O 2.14-2.21
W  0.0000  0.0000  0.7089 (multiplicity 3)  6 O 1.89-2.03
W  0.0000  0.0000  0.8651 (multiplicity 3)  6 O 1.94-1.99
O  0.0108  0.5054  0.4101 (multiplicity 9)  1 W 1.89
O  0.0165  0.5083  0.5738 (multiplicity 9)  1 W 1.99, 1 In 2.21
O  0.1700  0.3399  0.4951 (multiplicity 9)  1 W 1.94
O  0.1753  0.3506  0.3310 (multiplicity 9)  1 W 2.03, 1 In 2.14